# VZn3F PBE+U optimized geometry
# * ρ: 3.15 g/cm3
# * E: -2.057 eV per atom
data_VZn3F
_symmetry_space_group_name_H-M 'P m -3 m'
_symmetry_Int_Tables_number 221
_symmetry_space_group_name_Hall '-P 4 2 3'
_cell_length_a 5.194
_cell_length_b 5.194
_cell_length_c 5.194
_cell_angle_alpha 90.00
_cell_angle_beta 90.00
_cell_angle_gamma 90.00
loop_
_atom_site_label
_atom_site_type_symbol
_atom_site_fract_x
_atom_site_fract_y
_atom_site_fract_z
V1 V 0.000 0.000 0.000
Zn1 Zn 0.000 0.000 0.500
F1 F 0.500 0.500 0.500